Density functional theory data (PBE) for a relaxed NaZnCd2In crystal.

Structure (POSCAR):
```
NaZnCd2In
1.0
5.192 0.000 0.000
0.000 5.192 0.000
0.000 0.000 5.242
Na Cd Zn In
1 2 1 1
direct
0.500 0.500 0.500
0.500 0.000 0.000
0.000 0.500 0.000
0.000 0.000 0.000
0.000 0.000 0.500
```

Values from the calculation:
Calculated density (Mg/m³): 5.03
Formation enthalpy at 0 K (eV per atom): 0.1161
Energy (Ry/atom): -0.09674

***

Density functional theory data (PBE) for a relaxed CrCoSi2 crystal.

Structure (POSCAR):
```
CrCoSi2
1.0
-1.803 1.205 -1.337
1.169 -0.655 -2.167
-3.942 -6.185 -0.256
Si Cr Co
2 1 1
direct
0.500 0.500 0.285
0.000 0.000 0.979
0.500 0.500 0.734
0.000 0.000 0.502
```

Values from the calculation:
Calculated density (Mg/m³): 5.83
Energy (Ry/atom): -0.50870
Raw formation energy (eV/atom): -0.027